1.
Entry from Alexandria: a relaxed structure of Ta2Ni2Ir (PBE-GGA).

Computed properties:
formation energy = -7.23 kcal/mol of atoms
magnetization = 0.000 μB/cell
offset from the most stable computed form = 103 meV per atom
symmetry = C2/c, No. 15

Unit cell a=5.1828 b=5.1828 c=7.2354 alpha=107.71 beta=107.71 gamma=52.68
Atoms (fractional coordinates):
Ta1 0.0005 0.3370 0.1395
Ta2 0.3370 0.0005 0.6395
Ta3 0.6630 0.9995 0.3605
Ta4 0.9995 0.6630 0.8605
Ni1 0.2132 0.5489 0.5344
Ni2 0.4511 0.7868 0.9656
Ni3 0.5489 0.2132 0.0344
Ni4 0.7868 0.4511 0.4656
Ir1 0.2057 0.7943 0.2500
Ir2 0.7943 0.2057 0.7500

=====

2.
Entry from Alexandria: a relaxed structure of Ta3NiIr (PBE-GGA).

Computed properties:
formation energy = 19.12 kcal/mol of atoms
magnetization = 0.000 μB/cell
offset from the most stable computed form = 0 meV per atom
symmetry = Pm-3m, No. 221

Unit cell a=4.5209 b=4.5209 c=4.5209 alpha=90.00 beta=90.00 gamma=90.00
Atoms (fractional coordinates):
Ta1 0.0000 0.0000 0.5000
Ta2 0.0000 0.5000 0.0000
Ta3 0.5000 0.0000 0.0000
Ni1 0.0000 0.0000 0.0000
Ir1 0.5000 0.5000 0.5000

=====

3.
Entry from Alexandria: a relaxed structure of TaNi2Ir2 (PBE-GGA).

Computed properties:
formation energy = -1.47 kcal/mol of atoms
magnetization = 0.000 μB/cell
offset from the most stable computed form = 80 meV per atom
symmetry = P4/mbm, No. 127

Unit cell a=7.0576 b=7.0576 c=2.8325 alpha=90.00 beta=90.00 gamma=90.00
Atoms (fractional coordinates):
Ta1 0.0000 0.0000 0.0000
Ta2 0.5000 0.5000 0.0000
Ni1 0.1667 0.3333 0.5000
Ni2 0.3333 0.8333 0.5000
Ni3 0.6667 0.1667 0.5000
Ni4 0.8333 0.6667 0.5000
Ir1 0.1316 0.6316 0.0000
Ir2 0.3684 0.1316 0.0000
Ir3 0.6316 0.8684 0.0000
Ir4 0.8684 0.3684 0.0000

=====

4.
Entry from Alexandria: a relaxed structure of Ta2NiIr (PBE-GGA).

Computed properties:
formation energy = -6.53 kcal/mol of atoms
magnetization = 0.000 μB/cell
symmetry = I-4m2, No. 119

Unit cell a=5.0082 b=5.0082 c=5.0082 alpha=134.93 beta=134.93 gamma=65.65
Atoms (fractional coordinates):
Ta1 0.0000 0.0000 0.0000
Ta2 0.7500 0.2500 0.5000
Ni1 0.5000 0.5000 0.0000
Ir1 0.2500 0.7500 0.5000

=====

Question: What is the formation energy in the second record?
Answer: 19.12 kcal/mol of atoms